Entry from Alexandria: KRb3 after structural relaxation (PBE).

E_form (meV per atom): 8

Unit cell a=7.8514 b=7.8514 c=7.8514 alpha=60.00 beta=60.00 gamma=60.00
Fractional coordinates of all 4 atoms:
K (0.7500, 0.7500, 0.7500)
Rb (0.0000, 0.0000, 0.0000)
Rb (0.5000, 0.5000, 0.5000)
Rb (0.2500, 0.2500, 0.2500)

=====

Entry from Alexandria: TlIn2SnH after structural relaxation (PBE).

ΔE to the lowest computed polymorph (eV/f.u.): 0.04

Unit cell a=4.8057 b=4.8057 c=5.0794 alpha=90.00 beta=90.00 gamma=90.00
Fractional coordinates of all 5 atoms:
H (0.0000, 0.0000, 0.0000)
Tl (0.0000, 0.0000, 0.5000)
Sn (0.5000, 0.5000, 0.5000)
In (0.0000, 0.5000, 0.0000)
In (0.5000, 0.0000, 0.0000)

=====

Entry from Alexandria: PtW3 after structural relaxation (PBE).

E_form (meV per atom): 67

Unit cell a=2.7230 b=4.1689 c=6.0669 alpha=90.00 beta=68.85 gamma=90.00
Fractional coordinates of all 4 atoms:
Pt (0.0000, 0.0000, 0.0000)
W (0.6839, 0.5000, 0.7472)
W (0.5000, 0.0000, 0.5000)
W (0.3161, 0.5000, 0.2528)

=====

Entry from Alexandria: SiMoRu2 after structural relaxation (PBE).

E_form (uncorrected) (eV per formula unit): -0.09

Unit cell a=2.9197 b=4.5002 c=4.2950 alpha=90.00 beta=90.00 gamma=90.00
Fractional coordinates of all 4 atoms:
Mo (0.0000, 0.5000, 0.5000)
Ru (0.0000, 0.0000, 0.0000)
Ru (0.5000, 0.5000, 0.0000)
Si (0.5000, 0.0000, 0.5000)

=====

| no. | N(E_F) (states/eV/atom) |
| --- | --- |
| 1 | 1.07 |
| 2 | 0.50 |
| 3 | 0.93 |
| 4 | 1.12 |